DFT (PBE with a Hubbard U) results for CoIF2 after structural relaxation.

Calculated values
As for the symmetry: No. 166. The size of the total moment is 3.00 μB/cell. The energy above the lowest structure with this stoichiometry comes out at 0.0 kJ/mol of formula units.

Cell lengths 9.699, 9.699, 9.699 Å; angles 19.37, 19.37, 19.37 degrees
Sites, in units of the cell vectors:
Co: 0.000 0.000 0.000
I: 0.500 0.500 0.500
F: 0.365 0.365 0.365
F: 0.635 0.635 0.635